Computed, not measured: an optimized crystal structure of SmY2Pt at the PBE-GGA level of DFT.

The structure belongs to space group R-3m (No. 166, hexagonal axes); the cell edges are 3.8285, 3.8285 and 28.7085 Å and the angles 90.00°, 90.00° and 120.00°. The asymmetric unit holds Sm at (0.0000, 0.0000, 0.0000), Y at (0.0000, 0.0000, 0.2278) and Pt at (0.0000, 0.0000, 0.5000).

The calculation puts the energy above the most stable polymorph in this dataset at 206 meV/atom. Its formation energy is -486 meV/atom. The calculation puts the total DFT energy (no corrections) at -6.408 eV per atom. Its mass density is 7.153 g/cm3.



Computed, not measured: an optimized crystal structure of Sm2Y3Pt4 at the PBE-GGA level of DFT.

The structure belongs to space group P2_1/c (No. 14); the cell edges are 7.660, 7.688 and 7.766 Å and the angles 90.00°, 109.08° and 90.00°. The asymmetric unit holds Sm at (0.198, 0.179, 0.082), Y at (0.243, 0.667, 0.248), Y at (0.500, 0.000, 0.500), Pt at (0.090, 0.534, 0.861) and Pt at (0.494, 0.133, 0.871).

Its formation energy is -1134 meV/atom. The calculation puts the total DFT energy (no corrections) at -7.022 eV per atom. Its mass density is 10.356 g/cm3.



Computed, not measured: an optimized crystal structure of Sm4Y3Pt4 at the PBE-GGA level of DFT.

The structure belongs to space group Immm (No. 71); the cell edges are 3.872, 8.882 and 16.526 Å and the angles 90.00°, 90.00° and 90.00°. The asymmetric unit holds Sm at (0.000, 0.187, 0.165), Y at (0.000, 0.000, 0.401), Y at (0.000, 0.500, 0.500), Pt at (0.000, 0.303, 0.000) and Pt at (0.000, 0.500, 0.243).

Its formation energy is -837 meV/atom. The calculation puts the total DFT energy (no corrections) at -6.513 eV per atom. Its mass density is 9.633 g/cm3.



Computed, not measured: an optimized crystal structure of SmY2Pt at the PBE-GGA level of DFT.

The structure belongs to space group Cmcm (No. 63); the cell edges are 3.798, 12.389 and 9.515 Å and the angles 90.00°, 90.00° and 90.00°. The asymmetric unit holds Sm at (0.000, 0.071, 0.250), Y at (0.000, 0.363, 0.065) and Pt at (0.000, 0.240, 0.750).

The calculation puts the energy above the most stable polymorph in this dataset at 37 meV/atom. Its formation energy is -655 meV/atom. The calculation puts the total DFT energy (no corrections) at -6.577 eV per atom. Its mass density is 7.764 g/cm3.



Computed, not measured: an optimized crystal structure of SmY2Pt at the PBE-GGA level of DFT.

The structure belongs to space group P4/mmm (No. 123); the cell edges are 3.573, 3.573 and 8.623 Å and the angles 90.00°, 90.00° and 90.00°. The asymmetric unit holds Sm at (0.000, 0.000, 0.000), Y at (0.500, 0.500, 0.308) and Pt at (0.000, 0.000, 0.500).

The calculation puts the energy above the most stable polymorph in this dataset at 111 meV/atom. Its formation energy is -581 meV/atom. The calculation puts the total DFT energy (no corrections) at -6.503 eV per atom. Its mass density is 7.895 g/cm3.



Computed, not measured: an optimized crystal structure of SmY2Pt2 at the PBE-GGA level of DFT.

The structure belongs to space group P4/mbm (No. 127); the cell edges are 7.816, 7.816 and 3.987 Å and the angles 90.00°, 90.00° and 90.00°. The asymmetric unit holds Sm at (0.000, 0.000, 0.000), Y at (0.160, 0.340, 0.500) and Pt at (0.137, 0.637, 0.000).

The calculation puts the energy above the most stable polymorph in this dataset at 0 meV/atom. Its formation energy is -1015 meV/atom. The calculation puts the total DFT energy (no corrections) at -6.961 eV per atom. Its mass density is 9.796 g/cm3.



Computed, not measured: an optimized crystal structure of SmY3Pt at the PBE-GGA level of DFT.

The structure belongs to space group P2_1/m (No. 11); the cell edges are 6.488, 5.132 and 8.790 Å and the angles 90.00°, 96.47° and 90.00°. The asymmetric unit holds Sm at (0.108, 0.250, 0.283), Y at (0.231, 0.250, 0.744), Y at (0.286, 0.750, 0.056), Y at (0.323, 0.750, 0.479) and Pt at (0.469, 0.750, 0.788).

The calculation puts the energy above the most stable polymorph in this dataset at 0 meV/atom. Its formation energy is -466 meV/atom. The calculation puts the total DFT energy (no corrections) at -6.496 eV per atom. Its mass density is 6.991 g/cm3.



Computed, not measured: an optimized crystal structure of SmY3Pt8 at the PBE-GGA level of DFT.

The structure belongs to space group P3m1 (No. 156); the cell edges are 5.4698, 5.4698 and 8.9134 Å and the angles 90.00°, 90.00° and 120.00°. The asymmetric unit holds Sm at (0.0000, 0.0000, 0.0000), Y at (0.0000, 0.0000, 0.3716), Y at (0.6667, 0.3333, 0.4981), Y at (0.6667, 0.3333, 0.8669), Pt at (0.1645, 0.3291, 0.6831), Pt at (0.3333, 0.6667, 0.4337), Pt at (0.3333, 0.6667, 0.9339) and Pt at (0.5024, 0.0049, 0.1852).

Its formation energy is -1051 meV/atom. The calculation puts the total DFT energy (no corrections) at -7.087 eV per atom. Its mass density is 14.220 g/cm3.



Computed, not measured: an optimized crystal structure of Sm2YPt9 at the PBE-GGA level of DFT.

The structure belongs to space group R-3m (No. 166, hexagonal axes); the cell edges are 5.4325, 5.4325 and 26.7307 Å and the angles 90.00°, 90.00° and 120.00°. The asymmetric unit holds Sm at (0.0000, 0.0000, 0.1389), Y at (0.0000, 0.0000, 0.0000), Pt at (0.0000, 0.0000, 0.3331), Pt at (0.0000, 0.0000, 0.5000) and Pt at (0.0040, 0.5020, 0.9154).

Its formation energy is -919 meV/atom. The calculation puts the total DFT energy (no corrections) at -6.775 eV per atom. Its mass density is 15.643 g/cm3.



Computed, not measured: an optimized crystal structure of Sm2Y2Pt3 at the PBE-GGA level of DFT.

The structure belongs to space group I2_13 (No. 199); the cell edges are 8.839, 8.839 and 8.839 Å and the angles 90.00°, 90.00° and 90.00°. The asymmetric unit holds Sm at (0.063, 0.063, 0.063), Y at (0.188, 0.312, 0.688) and Pt at (0.000, 0.250, 0.381).

Its formation energy is -1050 meV/atom. The calculation puts the total DFT energy (no corrections) at -6.834 eV per atom. Its mass density is 10.233 g/cm3.



Computed, not measured: an optimized crystal structure of Sm3Y4Pt4 at the PBE-GGA level of DFT.

The structure belongs to space group Immm (No. 71); the cell edges are 4.592, 7.869 and 15.595 Å and the angles 90.00°, 90.00° and 90.00°. The asymmetric unit holds Sm at (0.000, 0.000, 0.000), Sm at (0.000, 0.500, 0.101), Y at (0.000, 0.289, 0.329), Pt at (0.000, 0.000, 0.209) and Pt at (0.000, 0.182, 0.500).

Its formation energy is -862 meV/atom. The calculation puts the total DFT energy (no corrections) at -6.696 eV per atom. Its mass density is 9.354 g/cm3.



Computed, not measured: an optimized crystal structure of Sm2YPt2 at the PBE-GGA level of DFT.

The structure belongs to space group P4/mbm (No. 127); the cell edges are 7.845, 7.845 and 4.039 Å and the angles 90.00°, 90.00° and 90.00°. The asymmetric unit holds Sm at (0.163, 0.337, 0.000), Y at (0.000, 0.000, 0.500) and Pt at (0.137, 0.637, 0.500).

Its formation energy is -998 meV/atom. The calculation puts the total DFT energy (no corrections) at -6.595 eV per atom. Its mass density is 10.419 g/cm3.



Computed, not measured: an optimized crystal structure of SmY5Pt6 at the PBE-GGA level of DFT.

The structure belongs to space group C2/m (No. 12); the cell edges are 15.775, 6.956 and 4.994 Å and the angles 90.00°, 108.33° and 90.00°. The asymmetric unit holds Sm at (0.000, 0.000, 0.000), Y at (0.000, 0.500, 0.000), Y at (0.167, 0.000, 0.667), Y at (0.167, 0.500, 0.667), Pt at (0.000, 0.255, 0.500) and Pt at (0.169, 0.252, 0.169).

Its formation energy is -1185 meV/atom. The calculation puts the total DFT energy (no corrections) at -7.292 eV per atom. Its mass density is 11.271 g/cm3.



Computed, not measured: an optimized crystal structure of SmY3Pt at the PBE-GGA level of DFT.

The structure belongs to space group Pm-3m (No. 221); the cell edges are 5.497, 5.497 and 5.497 Å and the angles 90.00°, 90.00° and 90.00°. The asymmetric unit holds Sm at (0.000, 0.000, 0.000), Y at (0.000, 0.500, 0.500) and Pt at (0.500, 0.500, 0.500).

The calculation puts the energy above the most stable polymorph in this dataset at 106 meV/atom. Its formation energy is -360 meV/atom. The calculation puts the total DFT energy (no corrections) at -6.390 eV per atom. Its mass density is 6.120 g/cm3.



Computed, not measured: an optimized crystal structure of Sm3Y2Pt2 at the PBE-GGA level of DFT.

The structure belongs to space group C2/m (No. 12); the cell edges are 12.425, 3.828 and 9.122 Å and the angles 90.00°, 115.53° and 90.00°. The asymmetric unit holds Sm at (0.000, 0.000, 0.000), Sm at (0.114, 0.000, 0.434), Y at (0.165, 0.500, 0.813) and Pt at (0.176, 0.500, 0.236).

Its formation energy is -735 meV/atom. The calculation puts the total DFT energy (no corrections) at -6.330 eV per atom. Its mass density is 8.645 g/cm3.



Computed, not measured: an optimized crystal structure of SmY2Pt2 at the PBE-GGA level of DFT.

The structure belongs to space group Cmcm (No. 63); the cell edges are 3.825, 27.831 and 4.678 Å and the angles 90.00°, 90.00° and 90.00°. The asymmetric unit holds Sm at (0.000, 0.136, 0.250), Y at (0.000, 0.231, 0.750), Y at (0.000, 0.449, 0.250), Pt at (0.000, 0.032, 0.250) and Pt at (0.000, 0.343, 0.250).

The calculation puts the energy above the most stable polymorph in this dataset at 50 meV/atom. Its formation energy is -965 meV/atom. The calculation puts the total DFT energy (no corrections) at -6.910 eV per atom. Its mass density is 9.580 g/cm3.



Computed, not measured: an optimized crystal structure of SmY2Pt at the PBE-GGA level of DFT.

The structure belongs to space group R3m (No. 160, hexagonal axes); the cell edges are 3.9524, 3.9524 and 27.1771 Å and the angles 90.00°, 90.00° and 120.00°. The asymmetric unit holds Sm at (0.0000, 0.0000, 0.0000), Y at (0.0000, 0.0000, 0.5582), Y at (0.0000, 0.0000, 0.7708) and Pt at (0.0000, 0.0000, 0.1639).

The calculation puts the energy above the most stable polymorph in this dataset at 175 meV/atom. Its formation energy is -517 meV/atom. The calculation puts the total DFT energy (no corrections) at -6.439 eV per atom. Its mass density is 7.090 g/cm3.



Computed, not measured: an optimized crystal structure of SmY2Pt at the PBE-GGA level of DFT.

The structure belongs to space group Pnma (No. 62); the cell edges are 7.135, 9.669 and 6.568 Å and the angles 90.00°, 90.00° and 90.00°. The asymmetric unit holds Sm at (0.025, 0.250, 0.134), Y at (0.177, 0.062, 0.676) and Pt at (0.115, 0.750, 0.442).

The calculation puts the energy above the most stable polymorph in this dataset at 0 meV/atom. Its formation energy is -692 meV/atom. The calculation puts the total DFT energy (no corrections) at -6.614 eV per atom. Its mass density is 7.670 g/cm3.



Computed, not measured: an optimized crystal structure of SmYZnPt at the PBE-GGA level of DFT.

The structure belongs to space group Amm2 (No. 38); the cell edges are 4.489, 3.881 and 10.812 Å and the angles 90.00°, 90.00° and 90.00°. The asymmetric unit holds Sm at (0.000, 0.000, 0.000), Y at (0.500, 0.000, 0.719), Zn at (0.500, 0.000, 0.433) and Pt at (0.000, 0.000, 0.284).

The calculation puts the energy above the most stable polymorph in this dataset at 0 meV/atom. Its formation energy is -784 meV/atom. The calculation puts the total DFT energy (no corrections) at -5.409 eV per atom. Its mass density is 8.810 g/cm3.



Computed, not measured: an optimized crystal structure of SmYZnPt at the PBE-GGA level of DFT.

The structure belongs to space group F-43m (No. 216); the cell edges are 7.134, 7.134 and 7.134 Å and the angles 90.00°, 90.00° and 90.00°. The asymmetric unit holds Sm at (0.000, 0.000, 0.000), Y at (0.000, 0.000, 0.500), Zn at (0.250, 0.250, 0.250) and Pt at (0.250, 0.250, 0.750).

The calculation puts the energy above the most stable polymorph in this dataset at 39 meV/atom. Its formation energy is -746 meV/atom. The calculation puts the total DFT energy (no corrections) at -5.370 eV per atom. Its mass density is 9.142 g/cm3.